{"formula": "Gd2ThTi", "functional": "PBE", "state": "relaxed", "cell": [[3.404, 0.000, 0.000], [1.702, 2.948, 0.000], [1.702, 0.983, 11.626]], "species": ["Gd", "Th", "Gd", "Ti"], "fractional_positions": [[0.084, 0.084, 0.747], [0.500, 0.500, 0.500], [0.916, 0.916, 0.253], [0.000, 0.000, 0.000]], "spacegroup": "No. 166", "dft_energy_ev_per_atom": -10.4428, "n_ef_per_ev_cell": 6.09, "e_form_ev_per_atom": 0.426}